No. 1
Here is Th5SbS4 after structural relaxation from the Alexandria database. Energies are from PBE. Values from VASP.

Quantum ESPRESSO input file:
```
&SYSTEM
  ibrav = 0, nat = 10, ntyp = 3
/
ATOMIC_SPECIES
Th 232.04 Th.upf
Sb 121.76 Sb.upf
S 32.06 S.upf
ATOMIC_POSITIONS crystal
Th 0.0000 0.0000 0.0000
Th 0.2066 0.2066 0.8186
Th 0.3856 0.3856 0.6093
Th 0.6144 0.6144 0.3907
Th 0.7934 0.7934 0.1814
Sb 0.0000 0.0000 0.5000
S 0.2066 0.2066 0.2902
S 0.4085 0.4085 0.1082
S 0.5915 0.5915 0.8918
S 0.7934 0.7934 0.7098
CELL_PARAMETERS angstrom
6.8334 -2.0717 0.0000
6.8334 2.0717 0.0000
-4.9609 0.0000 8.8566
```

Computed properties:
As for the calculated total energy: -7.388 eV per atom. As for the total moment: 0.0 Bohr magnetons per cell. The density of states at the Fermi level comes out at 6.6 states/eV per cell.

---

No. 2
Here is ThSbS after structural relaxation from the Alexandria database. Energies are from PBE. Values from VASP.

Quantum ESPRESSO input file:
```
&SYSTEM
  ibrav = 0, nat = 3, ntyp = 3
/
ATOMIC_SPECIES
Th 232.04 Th.upf
Sb 121.76 Sb.upf
S 32.06 S.upf
ATOMIC_POSITIONS crystal
Th 0.0000 0.0000 0.0000
Sb 0.2993 0.2993 0.0000
S 0.5971 0.5971 0.0000
CELL_PARAMETERS angstrom
-1.8477 1.8477 5.8075
1.8477 -1.8477 5.8075
1.8477 1.8477 -5.8075
```

Computed properties:
As for the calculated total energy: -6.271 eV per atom. As for the total moment: 0.0 Bohr magnetons per cell. The density of states at the Fermi level comes out at 2.0 states/eV per cell.

---

No. 3
Here is ThSbS4 after structural relaxation from the Alexandria database. Energies are from PBE. Values from VASP.

Quantum ESPRESSO input file:
```
&SYSTEM
  ibrav = 0, nat = 12, ntyp = 3
/
ATOMIC_SPECIES
Th 232.04 Th.upf
Sb 121.76 Sb.upf
S 32.06 S.upf
ATOMIC_POSITIONS crystal
Th 0.0000 0.0000 0.0000
Th 0.0000 0.5000 0.5000
Sb 0.5000 0.0000 0.5000
Sb 0.5000 0.5000 0.0000
S 0.1850 0.1842 0.3448
S 0.1850 0.3158 0.8448
S 0.2960 0.7166 0.2580
S 0.2960 0.7834 0.7580
S 0.7040 0.2166 0.2420
S 0.7040 0.2834 0.7420
S 0.8150 0.6842 0.1552
S 0.8150 0.8158 0.6552
CELL_PARAMETERS angstrom
6.6616 0.0000 0.0000
0.0000 6.6560 0.0000
-0.8235 0.0000 6.7539
```

Computed properties:
As for the calculated total energy: -5.588 eV per atom. As for the total moment: 0.0 Bohr magnetons per cell. The density of states at the Fermi level comes out at 6.9 states/eV per cell.

---

No. 4
Here is Th3SbS2 after structural relaxation from the Alexandria database. Energies are from PBE. Values from VASP.

Quantum ESPRESSO input file:
```
&SYSTEM
  ibrav = 0, nat = 12, ntyp = 3
/
ATOMIC_SPECIES
Th 232.04 Th.upf
Sb 121.76 Sb.upf
S 32.06 S.upf
ATOMIC_POSITIONS crystal
Th 0.1124 0.8876 0.7500
Th 0.3648 0.6352 0.5424
Th 0.3648 0.6352 0.9576
Th 0.6352 0.3648 0.0424
Th 0.6352 0.3648 0.4576
Th 0.8876 0.1124 0.2500
Sb 0.2243 0.7757 0.2500
Sb 0.7757 0.2243 0.7500
S 0.0000 0.0000 0.0000
S 0.0000 0.0000 0.5000
S 0.4935 0.5065 0.2500
S 0.5065 0.4935 0.7500
CELL_PARAMETERS angstrom
2.3511 -6.7763 0.0000
2.3511 6.7763 0.0000
0.0000 0.0000 9.8980
```

Computed properties:
As for the calculated total energy: -7.058 eV per atom. As for the total moment: 0.0 Bohr magnetons per cell. The density of states at the Fermi level comes out at 7.1 states/eV per cell.